Entry 1:
First-principles (PBE) data for a geometry-optimized AlCo2As structure, as listed in Alexandria via LeMat-Bulk.

Structure (CIF):
```
data_AlCo2As
_space_group_name_H-M_alt 'C 1 2/m 1'
_space_group_IT_number 12
_space_group_name_Hall '-C 2y'
_cell_length_a 7.6951
_cell_length_b 2.8419
_cell_length_c 4.7119
_cell_angle_alpha 90.00
_cell_angle_beta 100.86
_cell_angle_gamma 90.00
loop_
_atom_site_label
_atom_site_fract_x
_atom_site_fract_y
_atom_site_fract_z
Al1 0.0000 0.0000 0.0000
Co1 0.2492 0.5000 0.2579
As1 0.0000 0.5000 0.5000
```

Results
Spin magnetization ... 0.93 μB/f.u.
Energy of formation ... -0.55 eV/f.u.
Density of states at the Fermi level ... 0.81 states/eV/atom
Total DFT energy (no corrections) ... -23.15 eV/f.u.
Energy above the lowest structure with this stoichiometry ... 112 meV/atom



Entry 2:
First-principles (PBE) data for a geometry-optimized K3Rb3CaI8 structure, as listed in Alexandria via LeMat-Bulk.

Structure (CIF):
```
data_K3Rb3CaI8
_space_group_name_H-M_alt 'R -3 m'
_space_group_IT_number 166
_space_group_name_Hall '-R 3 2"'
_cell_length_a 10.1739
_cell_length_b 10.1739
_cell_length_c 25.6106
_cell_angle_alpha 90.00
_cell_angle_beta 90.00
_cell_angle_gamma 120.00
loop_
_atom_site_label
_atom_site_fract_x
_atom_site_fract_y
_atom_site_fract_z
K1 0.0000 0.5000 0.0000
Rb1 0.0000 0.5000 0.5000
Ca1 0.0000 0.0000 0.0000
I1 0.0000 0.0000 0.2540
I2 0.0353 0.5177 0.7379
```

Results
E_form (uncorrected) ... -1.52 eV/atom
Spin magnetization ... 0.00 μB/f.u.
Density of states at the Fermi level ... 0.00 states/eV/atom
Total DFT energy (no corrections) ... -43.40 eV/f.u.